Density functional theory data (PBE) for a relaxed TeMo2As crystal.

Output
The raw total energy comes out at -28.7 eV/cell. The calculation puts the volume at 21.28 A^3/atom. The density of states at the Fermi level comes out at 2.1 states/eV/cell. The value obtained for the theoretical density is 7.69 Mg/m³. For the uncorrected formation energy, the calculation gives 187 meV/atom.

Cell lengths 10.1447, 10.1447, 10.1447 Å; angles 17.80, 17.80, 17.80 degrees
Fractional positions:
1 Te 0.0000 0.0000 0.0000
2 Mo 0.2629 0.2629 0.2629
3 Mo 0.5277 0.5277 0.5277
4 As 0.7971 0.7971 0.7971